[1]
# Re2HgSe (PBE-GGA, optimized geometry)
data_Re2HgSe
_symmetry_space_group_name_H-M 'P 1'
_symmetry_Int_Tables_number 1
_symmetry_space_group_name_Hall 'P 1'
_cell_length_a 5.719
_cell_length_b 5.719
_cell_length_c 2.710
_cell_angle_alpha 99.25
_cell_angle_beta 99.25
_cell_angle_gamma 121.54
loop_
_atom_site_label
_atom_site_type_symbol
_atom_site_fract_x
_atom_site_fract_y
_atom_site_fract_z
Re1 Re 0.000 0.500 0.000
Re2 Re 0.500 0.000 0.000
Hg1 Hg 0.000 0.000 0.000
Se1 Se 0.500 0.500 0.000
# Crystal system ... monoclinic
# Space-group type ... C2/m
# Energy relative to the lowest polymorph listed for this composition ... 0.7862 eV/atom

***

[2]
# ZrTaFe2 (PBE-GGA, optimized geometry)
data_ZrTaFe2
_symmetry_space_group_name_H-M 'P 1'
_symmetry_Int_Tables_number 1
_symmetry_space_group_name_Hall 'P 1'
_cell_length_a 9.024
_cell_length_b 9.024
_cell_length_c 9.024
_cell_angle_alpha 18.62
_cell_angle_beta 18.62
_cell_angle_gamma 18.62
loop_
_atom_site_label
_atom_site_type_symbol
_atom_site_fract_x
_atom_site_fract_y
_atom_site_fract_z
Zr1 Zr 0.000 0.000 0.000
Ta1 Ta 0.232 0.232 0.232
Fe1 Fe 0.487 0.487 0.487
Fe2 Fe 0.753 0.753 0.753
# Crystal system ... trigonal
# Space-group type ... R3m

***

[3]
# MgSbAs2 (PBE-GGA, optimized geometry)
data_MgSbAs2
_symmetry_space_group_name_H-M 'P 1'
_symmetry_Int_Tables_number 1
_symmetry_space_group_name_Hall 'P 1'
_cell_length_a 4.980
_cell_length_b 4.980
_cell_length_c 4.980
_cell_angle_alpha 60.00
_cell_angle_beta 60.00
_cell_angle_gamma 60.00
loop_
_atom_site_label
_atom_site_type_symbol
_atom_site_fract_x
_atom_site_fract_y
_atom_site_fract_z
Mg1 Mg 0.000 0.000 0.000
Sb1 Sb 0.500 0.500 0.500
As1 As 0.250 0.250 0.250
As2 As 0.750 0.750 0.750
# Crystal system ... cubic
# Space-group type ... Fm-3m
# Energy relative to the lowest polymorph listed for this composition ... 0.2632 eV/atom

***

[4]
# KMgRu2 (PBE-GGA, optimized geometry)
data_KMgRu2
_symmetry_space_group_name_H-M 'P 1'
_symmetry_Int_Tables_number 1
_symmetry_space_group_name_Hall 'P 1'
_cell_length_a 6.144
_cell_length_b 6.144
_cell_length_c 6.144
_cell_angle_alpha 153.04
_cell_angle_beta 127.90
_cell_angle_gamma 59.63
loop_
_atom_site_label
_atom_site_type_symbol
_atom_site_fract_x
_atom_site_fract_y
_atom_site_fract_z
K1 K 0.000 0.000 0.000
Mg1 Mg 0.701 0.201 0.500
Ru1 Ru 0.279 0.779 0.500
Ru2 Ru 0.466 0.466 0.000
# Crystal system ... orthorhombic
# Space-group type ... Imm2

***

[5]
# CaPr6Nd (PBE-GGA, optimized geometry)
data_CaPr6Nd
_symmetry_space_group_name_H-M 'P 1'
_symmetry_Int_Tables_number 1
_symmetry_space_group_name_Hall 'P 1'
_cell_length_a 5.276
_cell_length_b 5.276
_cell_length_c 10.497
_cell_angle_alpha 90.00
_cell_angle_beta 90.00
_cell_angle_gamma 90.00
loop_
_atom_site_label
_atom_site_type_symbol
_atom_site_fract_x
_atom_site_fract_y
_atom_site_fract_z
Ca1 Ca 0.000 0.000 0.000
Pr1 Pr 0.000 0.500 0.256
Pr2 Pr 0.000 0.500 0.744
Pr3 Pr 0.500 0.000 0.256
Pr4 Pr 0.500 0.000 0.744
Pr5 Pr 0.500 0.500 0.000
Pr6 Pr 0.500 0.500 0.500
Nd1 Nd 0.000 0.000 0.500
# Crystal system ... tetragonal
# Space-group type ... P4/mmm

***

[6]
# ErMgSi (PBE-GGA, optimized geometry)
data_ErMgSi
_symmetry_space_group_name_H-M 'P 1'
_symmetry_Int_Tables_number 1
_symmetry_space_group_name_Hall 'P 1'
_cell_length_a 4.624
_cell_length_b 4.624
_cell_length_c 4.624
_cell_angle_alpha 60.00
_cell_angle_beta 60.00
_cell_angle_gamma 60.00
loop_
_atom_site_label
_atom_site_type_symbol
_atom_site_fract_x
_atom_site_fract_y
_atom_site_fract_z
Er1 Er 0.000 0.000 0.000
Mg1 Mg 0.500 0.500 0.500
Si1 Si 0.750 0.750 0.750
# Crystal system ... cubic
# Space-group type ... F-43m

***

[7]
# ZrOs2Cl (PBE-GGA, optimized geometry)
data_ZrOs2Cl
_symmetry_space_group_name_H-M 'P 1'
_symmetry_Int_Tables_number 1
_symmetry_space_group_name_Hall 'P 1'
_cell_length_a 2.937
_cell_length_b 3.741
_cell_length_c 7.832
_cell_angle_alpha 90.00
_cell_angle_beta 90.00
_cell_angle_gamma 90.00
loop_
_atom_site_label
_atom_site_type_symbol
_atom_site_fract_x
_atom_site_fract_y
_atom_site_fract_z
Zr1 Zr 0.000 0.000 0.000
Os1 Os 0.000 0.000 0.659
Os2 Os 0.500 0.500 0.771
Cl1 Cl 0.500 0.500 0.207
# Crystal system ... orthorhombic
# Space-group type ... Pmm2
# Energy relative to the lowest polymorph listed for this composition ... 0.0030 eV/atom

***

[8]
# La6PmEr4 (PBE-GGA, optimized geometry)
data_La6PmEr4
_symmetry_space_group_name_H-M 'P 1'
_symmetry_Int_Tables_number 1
_symmetry_space_group_name_Hall 'P 1'
_cell_length_a 11.188
_cell_length_b 11.188
_cell_length_c 3.611
_cell_angle_alpha 90.00
_cell_angle_beta 90.00
_cell_angle_gamma 120.00
loop_
_atom_site_label
_atom_site_type_symbol
_atom_site_fract_x
_atom_site_fract_y
_atom_site_fract_z
La1 La 0.183 0.365 0.000
La2 La 0.183 0.817 0.000
La3 La 0.528 0.055 0.500
La4 La 0.528 0.472 0.500
La5 La 0.635 0.817 0.000
La6 La 0.945 0.472 0.500
Pm1 Pm 0.000 0.000 0.500
Er1 Er 0.319 0.159 0.000
Er2 Er 0.333 0.667 0.500
Er3 Er 0.841 0.159 0.000
Er4 Er 0.841 0.681 0.000
# Crystal system ... hexagonal
# Space-group type ... P-6m2
# Energy relative to the lowest polymorph listed for this composition ... 0.0401 eV/atom

***

[9]
# Dy7Bi2Pd2 (PBE-GGA, optimized geometry)
data_Dy7Bi2Pd2
_symmetry_space_group_name_H-M 'P 1'
_symmetry_Int_Tables_number 1
_symmetry_space_group_name_Hall 'P 1'
_cell_length_a 9.610
_cell_length_b 9.610
_cell_length_c 9.610
_cell_angle_alpha 156.31
_cell_angle_beta 67.29
_cell_angle_gamma 118.06
loop_
_atom_site_label
_atom_site_type_symbol
_atom_site_fract_x
_atom_site_fract_y
_atom_site_fract_z
Dy1 Dy 0.000 0.000 0.000
Dy2 Dy 0.297 0.423 0.874
Dy3 Dy 0.313 0.629 0.684
Dy4 Dy 0.548 0.423 0.126
Dy5 Dy 0.628 0.275 0.352
Dy6 Dy 0.923 0.275 0.648
Dy7 Dy 0.945 0.629 0.316
Bi1 Bi 0.261 0.761 0.500
Bi2 Bi 0.670 0.670 0.000
Pd1 Pd 0.175 0.937 0.238
Pd2 Pd 0.699 0.937 0.762
# Crystal system ... orthorhombic
# Space-group type ... Imm2
# Energy relative to the lowest polymorph listed for this composition ... 0.0000 eV/atom

***

[10]
# CoH3Ru (PBE-GGA, optimized geometry)
data_CoH3Ru
_symmetry_space_group_name_H-M 'P 1'
_symmetry_Int_Tables_number 1
_symmetry_space_group_name_Hall 'P 1'
_cell_length_a 3.198
_cell_length_b 3.198
_cell_length_c 3.198
_cell_angle_alpha 90.00
_cell_angle_beta 90.00
_cell_angle_gamma 90.00
loop_
_atom_site_label
_atom_site_type_symbol
_atom_site_fract_x
_atom_site_fract_y
_atom_site_fract_z
Co1 Co 0.000 0.000 0.000
H1 H 0.000 0.000 0.500
H2 H 0.000 0.500 0.000
H3 H 0.500 0.000 0.000
Ru1 Ru 0.500 0.500 0.500
# Crystal system ... cubic
# Space-group type ... Pm-3m
# Energy relative to the lowest polymorph listed for this composition ... 0.0000 eV/atom

***

[11]
# Be3TlIr (PBE-GGA, optimized geometry)
data_Be3TlIr
_symmetry_space_group_name_H-M 'P 1'
_symmetry_Int_Tables_number 1
_symmetry_space_group_name_Hall 'P 1'
_cell_length_a 4.359
_cell_length_b 4.359
_cell_length_c 4.359
_cell_angle_alpha 90.00
_cell_angle_beta 90.00
_cell_angle_gamma 90.00
loop_
_atom_site_label
_atom_site_type_symbol
_atom_site_fract_x
_atom_site_fract_y
_atom_site_fract_z
Be1 Be 0.000 0.000 0.500
Be2 Be 0.000 0.500 0.000
Be3 Be 0.500 0.000 0.000
Tl1 Tl 0.000 0.000 0.000
Ir1 Ir 0.500 0.500 0.500
# Crystal system ... cubic
# Space-group type ... Pm-3m
# Energy relative to the lowest polymorph listed for this composition ... 1.3425 eV/atom

***

[12]
# Li2CdGa2 (PBE-GGA, optimized geometry)
data_Li2CdGa2
_symmetry_space_group_name_H-M 'P 1'
_symmetry_Int_Tables_number 1
_symmetry_space_group_name_Hall 'P 1'
_cell_length_a 7.523
_cell_length_b 7.523
_cell_length_c 3.086
_cell_angle_alpha 90.00
_cell_angle_beta 90.00
_cell_angle_gamma 90.00
loop_
_atom_site_label
_atom_site_type_symbol
_atom_site_fract_x
_atom_site_fract_y
_atom_site_fract_z
Li1 Li 0.177 0.323 0.000
Li2 Li 0.323 0.823 0.000
Li3 Li 0.677 0.177 0.000
Li4 Li 0.823 0.677 0.000
Cd1 Cd 0.000 0.000 0.500
Cd2 Cd 0.500 0.500 0.500
Ga1 Ga 0.122 0.622 0.500
Ga2 Ga 0.378 0.122 0.500
Ga3 Ga 0.622 0.878 0.500
Ga4 Ga 0.878 0.378 0.500
# Crystal system ... tetragonal
# Space-group type ... P4/mbm
# Energy relative to the lowest polymorph listed for this composition ... 0.0000 eV/atom

***

[13]
# Ca2PCl (PBE-GGA, optimized geometry)
data_Ca2PCl
_symmetry_space_group_name_H-M 'P 1'
_symmetry_Int_Tables_number 1
_symmetry_space_group_name_Hall 'P 1'
_cell_length_a 4.170
_cell_length_b 4.170
_cell_length_c 5.671
_cell_angle_alpha 90.00
_cell_angle_beta 90.00
_cell_angle_gamma 90.00
loop_
_atom_site_label
_atom_site_type_symbol
_atom_site_fract_x
_atom_site_fract_y
_atom_site_fract_z
Ca1 Ca 0.000 0.000 0.000
Ca2 Ca 0.500 0.500 0.500
P1 P 0.000 0.000 0.500
Cl1 Cl 0.500 0.500 0.000
# Crystal system ... tetragonal
# Space-group type ... P4/mmm

***

[14]
# HoErHg4 (PBE-GGA, optimized geometry)
data_HoErHg4
_symmetry_space_group_name_H-M 'P 1'
_symmetry_Int_Tables_number 1
_symmetry_space_group_name_Hall 'P 1'
_cell_length_a 5.930
_cell_length_b 5.930
_cell_length_c 5.930
_cell_angle_alpha 60.00
_cell_angle_beta 60.00
_cell_angle_gamma 60.00
loop_
_atom_site_label
_atom_site_type_symbol
_atom_site_fract_x
_atom_site_fract_y
_atom_site_fract_z
Ho1 Ho 0.000 0.000 0.000
Er1 Er 0.250 0.250 0.250
Hg1 Hg 0.125 0.625 0.625
Hg2 Hg 0.625 0.125 0.625
Hg3 Hg 0.625 0.625 0.125
Hg4 Hg 0.625 0.625 0.625
# Crystal system ... cubic
# Space-group type ... F-43m
# Energy relative to the lowest polymorph listed for this composition ... 0.2154 eV/atom

***

Computed E, in the same sequence as the records: -6.06 -9.04 -3.66 -4.47 -4.40 -4.23 -8.24 -4.64 -5.19 -5.00 -2.86 -2.37 -4.41 -1.89 eV per atom.
Computed Fermi-level density of states, in the same sequence as the records: 0.924 1.084 0.572 1.432 1.604 0.477 0.530 1.549 1.151 0.509 0.637 0.278 0.023 0.931 states/eV per atom.